(1)
A relaxed PrEr3 crystal, computed with GGA-PBEsol.

Cell: 5.5790 7.0924 7.0924 Å, 120.00 90.00 90.00°
Atoms (fractional coordinates):
Er: 0.2500 0.1651 0.3302
Pr: 0.2500 0.6667 0.3333
Er: 0.2500 0.6698 0.8349
Er: 0.7500 0.8349 0.6698
Er: 0.7500 0.8349 0.1651
Er: 0.2500 0.1651 0.8349
Er: 0.7500 0.3302 0.1651
Pr: 0.7500 0.3333 0.6667

Results
The density comes out at 8.8 g/cm3. For the excess energy over the best structure of this formula in the dataset, the calculation gives 0.0 meV per atom.

***

(2)
A relaxed PrErS3 crystal, computed with GGA-PBEsol.

Cell: 3.9228 10.8851 21.2972 Å, 101.80 90.00 90.00°
Atoms (fractional coordinates):
S: 0.2500 0.2068 0.6353
Pr: 0.7500 0.3070 0.7341
Er: 0.7500 0.0297 0.3522
S: 0.7500 0.3612 0.9644
Pr: 0.2500 0.6930 0.2659
Er: 0.7500 0.4463 0.4165
S: 0.2500 0.0842 0.9632
S: 0.2500 0.0583 0.4456
S: 0.2500 0.6388 0.0356
Pr: 0.7500 0.2030 0.5374
S: 0.7500 0.2529 0.3230
S: 0.2500 0.5447 0.3640
Er: 0.7500 0.5224 0.0875
S: 0.7500 0.6449 0.5148
S: 0.2500 0.8741 0.8361
S: 0.7500 0.4958 0.2192
S: 0.2500 0.2511 0.8267
Pr: 0.7500 0.6948 0.7655
S: 0.7500 0.4553 0.6360
Er: 0.2500 0.4776 0.9125
Er: 0.2500 0.8206 0.9536
S: 0.2500 0.3551 0.4852
Pr: 0.2500 0.9102 0.1359
S: 0.7500 0.0365 0.7289
S: 0.7500 0.9158 0.0368
Pr: 0.2500 0.3052 0.2345
S: 0.7500 0.1259 0.1639
S: 0.2500 0.7471 0.6770
Pr: 0.2500 0.7970 0.4626
S: 0.2500 0.5042 0.7808
S: 0.7500 0.6569 0.9008
Er: 0.2500 0.5537 0.5835
S: 0.7500 0.7932 0.3647
S: 0.2500 0.9635 0.2711
S: 0.2500 0.3431 0.0992
Er: 0.2500 0.9703 0.6478
S: 0.7500 0.7489 0.1733
Er: 0.7500 0.1794 0.0464
S: 0.7500 0.9417 0.5544
Pr: 0.7500 0.0898 0.8641

Results
The density comes out at 6.0 g/cm3. The formation energy from raw total energies is -10.658 eV/f.u.

***

(3)
A relaxed Pr4Er11S22 crystal, computed with GGA-PBEsol.

Cell: 3.8885 11.2063 19.3498 Å, 91.71 95.77 90.00°
Atoms (fractional coordinates):
Er: 0.2024 0.9407 0.4048
S: 0.1886 0.6904 0.3773
S: 0.8639 0.5489 0.7279
S: 0.9126 0.2448 0.8253
S: 0.7456 0.8802 0.4912
Er: 0.7359 0.6479 0.4717
S: 0.2799 0.5900 0.5598
Er: 0.0707 0.3593 0.1414
S: 0.5929 0.2112 0.1857
Pr: 0.3678 0.3515 0.7356
S: 0.8114 0.3096 0.6227
S: 0.4530 0.0294 0.9060
S: 0.1692 0.1498 0.3385
Er: 0.9293 0.6407 0.8586
Er: 0.5382 0.7309 0.0765
S: 0.0874 0.7552 0.1747
S: 0.3499 0.0942 0.6997
Pr: 0.8953 0.9876 0.7906
S: 0.6501 0.9058 0.3003
S: 0.9916 0.7602 0.9832
S: 0.5470 0.9706 0.0940
S: 0.8308 0.8502 0.6615
Pr: 0.1047 0.0124 0.2094
S: 0.0084 0.2398 0.0168
S: 0.1361 0.4511 0.2721
S: 0.5583 0.5099 0.1166
Pr: 0.6322 0.6485 0.2644
Er: 0.3418 0.7003 0.6836
Er: 0.2641 0.3521 0.5283
Er: 0.7976 0.0593 0.5952
Er: 0.6582 0.2997 0.3164
S: 0.2544 0.1198 0.5088
Er: 0.0000 0.0000 0.0000
S: 0.7201 0.4100 0.4402
Er: 0.4618 0.2691 0.9235
S: 0.4071 0.7888 0.8143
S: 0.4417 0.4901 0.8834

Results
The density comes out at 6.2 g/cm3. The formation energy from raw total energies is -79.315 eV/f.u.

***

(4)
A relaxed PrEr3S6 crystal, computed with GGA-PBEsol.

Cell: 3.9144 10.8635 11.1663 Å, 108.89 90.00 90.00°
Atoms (fractional coordinates):
S: 0.7500 0.6207 0.9642
S: 0.2500 0.5837 0.4067
Er: 0.2500 0.3395 0.4133
Pr: 0.2500 0.4496 0.8038
Er: 0.7500 0.6605 0.5867
S: 0.2500 0.0192 0.8874
Pr: 0.7500 0.5504 0.1962
S: 0.7500 0.3025 0.2510
Er: 0.2500 0.0573 0.6670
S: 0.7500 0.2338 0.7715
S: 0.7500 0.9808 0.1126
S: 0.2500 0.7662 0.2285
S: 0.2500 0.3793 0.0358
S: 0.2500 0.1069 0.4433
S: 0.7500 0.8931 0.5567
Er: 0.7500 0.1795 0.0014
Er: 0.2500 0.8205 0.9986
Er: 0.7500 0.9427 0.3330
S: 0.2500 0.6975 0.7490
S: 0.7500 0.4163 0.5933

Results
The density comes out at 6.2 g/cm3. The formation energy from raw total energies is -21.340 eV/f.u.

***

(5)
A relaxed PrErZn2 crystal, computed with GGA-PBEsol.

Cell: 5.0302 5.0302 5.0302 Å, 60.00 60.00 60.00°
Atoms (fractional coordinates):
Zn: 0.2500 0.2500 0.2500
Pr: 0.0000 0.0000 0.0000
Zn: 0.7500 0.7500 0.7500
Er: 0.5000 0.5000 0.5000

Results
The density comes out at 8.1 g/cm3. The value obtained for the total energy is -14.496 eV for the cell shown.

***

(6)
A relaxed Er5Pt4 crystal, computed with GGA-PBEsol.

Cell: 7.3204 7.4215 14.2754 Å, 90.00 90.00 90.00°
Atoms (fractional coordinates):
Pt: 0.8150 0.4656 0.4593
Er: 0.5014 0.3204 0.5926
Pt: 0.8150 0.4656 0.0407
Pt: 0.1850 0.5344 0.5407
Er: 0.9986 0.8204 0.0926
Er: 0.0014 0.1796 0.9074
Er: 0.5014 0.3204 0.9074
Pt: 0.0483 0.8891 0.7500
Pt: 0.3193 0.1445 0.7500
Er: 0.1831 0.4896 0.7500
Er: 0.4986 0.6796 0.0926
Pt: 0.6807 0.8555 0.2500
Er: 0.4986 0.6796 0.4074
Er: 0.9986 0.8204 0.4074
Er: 0.0014 0.1796 0.5926
Er: 0.6831 0.0104 0.7500
Er: 0.1545 0.3335 0.1230
Pt: 0.1850 0.5344 0.9593
Er: 0.3169 0.9896 0.2500
Er: 0.6545 0.1665 0.1230
Pt: 0.5484 0.6109 0.7500
Pt: 0.3150 0.0344 0.4593
Er: 0.6545 0.1665 0.3770
Er: 0.8169 0.5104 0.2500
Pt: 0.1807 0.6445 0.2500
Pt: 0.8193 0.3555 0.7500
Pt: 0.9516 0.1109 0.2500
Pt: 0.6850 0.9656 0.9593
Pt: 0.4516 0.3891 0.2500
Er: 0.8455 0.6665 0.6230
Pt: 0.3150 0.0344 0.0407
Er: 0.1545 0.3335 0.3770
Er: 0.3455 0.8335 0.8770
Er: 0.8455 0.6665 0.8770
Er: 0.3455 0.8335 0.6230
Pt: 0.6850 0.9656 0.5407

Results
The density comes out at 13.8 g/cm3. The value obtained for the total energy is -251.971 eV for the cell shown.